Material: VTeOF2
Method: DFT, PBE+U
State: relaxed

Properties
The value obtained for the uncorrected energy is -4.137 eV per atom. As for the distance to the lowest polymorph of the same formula: 90.6 kJ/mol of atoms. The total magnetic moment comes out at 2.3 μB per cell.

Unit cell a=4.7524 b=4.7524 c=4.1061 alpha=90.00 beta=90.00 gamma=90.00
Last column: magnetic moment on the atom in μB.
Positions (direct):
Te 0.0000 0.0000 0.0000  -0.03
F 0.0000 0.5000 0.0000  0.01
F 0.5000 0.0000 0.0000  0.01
O 0.0000 0.0000 0.5000  0.05
V 0.5000 0.5000 0.5000  1.88